A plane-wave DFT calculation with GGA-PBE was carried out for a geometry-optimized TmMgAsO structure.

The space group is Pmc2_1 (No. 26) and the conventional cell measures 4.387, 6.020 and 5.836 Å, with angles of 90.00, 90.00 and 90.00 degrees. The inequivalent atoms are Tm at (0.000, 0.228, 0.000), Mg at (0.500, 0.397, 0.641), As at (0.000, 0.241, 0.488) and O at (0.500, 0.312, 0.974).

The calculation puts the energy relative to the lowest polymorph listed for this composition at 12.7 meV per atom. The total moment is 0.00 μB/f.u. Its crystal system is orthorhombic.


A plane-wave DFT calculation with GGA-PBE was carried out for a geometry-optimized TmMgAsO structure.

The space group is P4/nmm (No. 129, origin choice 2) and the conventional cell measures 4.012, 4.012 and 8.868 Å, with angles of 90.00, 90.00 and 90.00 degrees. The inequivalent atoms are Tm at (0.250, 0.250, 0.113), Mg at (0.250, 0.750, 0.500), As at (0.250, 0.250, 0.691) and O at (0.250, 0.750, 0.000).

The calculation puts the energy relative to the lowest polymorph listed for this composition at 0.1 meV per atom. The total moment is 0.00 μB/f.u. Its crystal system is tetragonal.


A plane-wave DFT calculation with GGA-PBE was carried out for a geometry-optimized TmMgAsO structure.

The space group is P4/nmm (No. 129, origin choice 2) and the conventional cell measures 4.354, 4.354 and 9.497 Å, with angles of 90.00, 90.00 and 90.00 degrees. The inequivalent atoms are Tm at (0.250, 0.750, 0.000), Mg at (0.250, 0.250, 0.497), As at (0.250, 0.250, 0.176) and O at (0.250, 0.750, 0.500).

The calculation puts the energy relative to the lowest polymorph listed for this composition at 765.1 meV per atom. The total moment is 0.06 μB/f.u. Its crystal system is tetragonal.